Entry 1:
Rb3Al5H12 | PBE | optimized geometry

Values from the calculation:
Total moment in μB per cell: 0.00
E in eV/atom: -3.000
Calculated volume in Å³ per cell: 2730.7

Cell lengths 13.977, 13.977, 13.977 Å; angles 90.00, 90.00, 90.00 degrees
Space group Ia-3d (No. 230)
Inequivalent atoms, fractional coordinates:
Rb1 0.000 0.250 0.125
Al1 0.000 0.000 0.000
Al2 0.000 0.250 0.375
H1 0.036 0.160 0.945

=====

Entry 2:
RbAlH | PBE | optimized geometry

Values from the calculation:
Total moment in μB per cell: 0.00
Relative energy among the computed polymorphs in meV/atom: 0
Calculated volume in Å³ per cell: 452.3

Cell lengths 4.8970, 4.8970, 21.7797 Å; angles 90.00, 90.00, 120.00 degrees
Space group R-3m (No. 166, hexagonal axes)
Inequivalent atoms, fractional coordinates:
Rb1 0.0000 0.0000 0.1004
Al1 0.0000 0.0000 0.3234
H1 0.0000 0.0000 0.2431

=====

Entry 3:
RbAlH | PBE | optimized geometry

Values from the calculation:
Total moment in μB per cell: 0.00
Relative energy among the computed polymorphs in meV/atom: 41
Calculated volume in Å³ per cell: 182.2

Cell lengths 3.935, 4.761, 10.683 Å; angles 90.37, 91.35, 114.40 degrees
Space group P1 (No. 1)
Inequivalent atoms, fractional coordinates:
Rb1 0.000 0.000 0.000
Rb2 0.252 0.578 0.434
Al1 0.282 0.594 0.763
Al2 0.574 0.185 0.698
H1 0.293 0.596 0.921
H2 0.564 0.187 0.540

=====

Entry 4:
Rb2AlH5 | PBE | optimized geometry

Values from the calculation:
Total moment in μB per cell: 0.00
E in eV/atom: -3.017
Calculated volume in Å³ per cell: 291.3

Cell lengths 6.125, 6.125, 7.766 Å; angles 90.00, 90.00, 90.00 degrees
Space group I4mm (No. 107)
Inequivalent atoms, fractional coordinates:
Rb1 0.000 0.500 0.000
Al1 0.000 0.000 0.220
H1 0.000 0.000 0.008
H2 0.196 0.196 0.266

=====

Entry 5:
RbAl4H12 | PBE | optimized geometry

Values from the calculation:
Total moment in μB per cell: 0.00
E in eV/atom: -3.278
Calculated volume in Å³ per cell: 381.5

Cell lengths 7.253, 7.253, 7.253 Å; angles 90.00, 90.00, 90.00 degrees
Space group Im-3m (No. 229)
Inequivalent atoms, fractional coordinates:
Rb1 0.000 0.000 0.000
Al1 0.250 0.250 0.250
H1 0.000 0.251 0.251

=====

Entry 6:
RbAlH5 | PBE | optimized geometry

Values from the calculation:
Total moment in μB per cell: 1.40
E in eV/atom: -2.973
Calculated volume in Å³ per cell: 442.5

Cell lengths 6.547, 6.589, 10.257 Å; angles 90.00, 90.00, 90.00 degrees
Space group Imma (No. 74)
Inequivalent atoms, fractional coordinates:
Rb1 0.000 0.250 0.143
Al1 0.000 0.000 0.500
H1 0.000 0.177 0.654
H2 0.000 0.250 0.421
H3 0.249 0.000 0.000

=====

Entry 7:
Rb2AlH6 | PBE | optimized geometry

Values from the calculation:
Total moment in μB per cell: 2.03
E in eV/atom: -2.800
Calculated volume in Å³ per cell: 322.6

Cell lengths 5.388, 5.388, 11.114 Å; angles 90.00, 90.00, 90.00 degrees
Space group P4_2/mnm (No. 136)
Inequivalent atoms, fractional coordinates:
Rb1 0.000 0.000 0.165
Al1 0.000 0.000 0.500
H1 0.159 0.159 0.387
H2 0.227 0.773 0.500

=====

Entry 8:
RbAlH | PBE | optimized geometry

Values from the calculation:
Total moment in μB per cell: 0.00
Relative energy among the computed polymorphs in meV/atom: 54
Calculated volume in Å³ per cell: 361.8

Cell lengths 8.382, 11.029, 4.716 Å; angles 90.00, 123.90, 90.00 degrees
Space group Cm (No. 8)
Inequivalent atoms, fractional coordinates:
Rb1 0.000 0.175 0.000
Al1 0.335 0.000 0.831
Al2 0.472 0.000 0.467
H1 0.091 0.000 0.589
H2 0.211 0.500 0.703